(1)
DyGa2Hg | PBE | relaxed

Computed properties:
Energy of formation, eV per atom: -0.428
Energy relative to the lowest polymorph listed for this composition, kcal/mol of atoms: 0.00

a b c (Å): 4.442 4.442 4.266
angles (deg): 90.00 90.00 90.00
Space group P4/mmm (No. 123)
Inequivalent atoms, fractional coordinates:
Dy (0.000, 0.000, 0.000) [1 per cell]
Ga (0.000, 0.500, 0.500) [2 per cell]
Hg (0.500, 0.500, 0.000) [1 per cell]

***

(2)
Dy3GaHg | PBE | relaxed

Computed properties:
Energy of formation, eV per atom: -0.309
Energy relative to the lowest polymorph listed for this composition, kcal/mol of atoms: 1.94

a b c (Å): 4.457 7.252 8.769
angles (deg): 90.00 90.00 90.00
Space group Pmmn (No. 59, origin choice 2)
Inequivalent atoms, fractional coordinates:
Dy (0.250, 0.005, 0.177) [4 per cell]
Dy (0.250, 0.250, 0.570) [2 per cell]
Ga (0.250, 0.250, 0.900) [2 per cell]
Hg (0.250, 0.750, 0.663) [2 per cell]

***

(3)
Dy3GaHg3 | PBE | relaxed

Computed properties:
Energy of formation, eV per atom: -0.445

a b c (Å): 3.663 4.748 20.005
angles (deg): 90.00 90.00 90.00
Space group Imm2 (No. 44)
Inequivalent atoms, fractional coordinates:
Dy (0.000, 0.000, 0.000) [2 per cell]
Dy (0.000, 0.000, 0.386) [2 per cell]
Dy (0.000, 0.500, 0.199) [2 per cell]
Ga (0.000, 0.500, 0.762) [2 per cell]
Hg (0.000, 0.000, 0.543) [2 per cell]
Hg (0.000, 0.000, 0.841) [2 per cell]
Hg (0.000, 0.500, 0.630) [2 per cell]

***

(4)
Dy2Ga2Hg | PBE | relaxed

Computed properties:
Energy of formation, eV per atom: -0.553

a b c (Å): 10.964 4.476 10.534
angles (deg): 90.00 117.18 90.00
Space group C2/m (No. 12)
Inequivalent atoms, fractional coordinates:
Dy (0.004, 0.000, 0.322) [4 per cell]
Dy (0.181, 0.000, 0.097) [4 per cell]
Ga (0.034, 0.500, 0.894) [4 per cell]
Ga (0.130, 0.500, 0.569) [4 per cell]
Hg (0.219, 0.500, 0.344) [4 per cell]

***

Number 1: E_tot -3.168 eV per atom. Number 2: E_tot -3.736 eV per atom. Number 3: E_tot -2.979 eV per atom. Number 4: E_tot -3.665 eV per atom.